# 1
Compound: PmNd2Au
Source: Alexandria
Functional: PBE
Structure: optimized geometry

Unit cell a=5.5681 b=5.5681 c=3.7113 alpha=90.00 beta=90.00 gamma=90.00
Space group P4/mmm (No. 123)
Asymmetric unit:
Pm  0.0000  0.0000  0.0000
Nd  0.0000  0.5000  0.5000
Au  0.5000  0.5000  0.0000

Values from the calculation:
Energy relative to the elements in meV/atom: -230
Total energy in eV/atom: -4.621
Crystal system: tetragonal
N(E_F) in states/eV/f.u.: 4.9
Total magnetization in μB/f.u.: 0.0
Offset from the most stable computed form in meV/atom: 162.5

# 2
Compound: PmNdAu
Source: Alexandria
Functional: PBE
Structure: optimized geometry

Unit cell a=3.7190 b=3.7190 c=12.5907 alpha=90.00 beta=90.00 gamma=90.00
Space group I4mm (No. 107)
Asymmetric unit:
Pm  0.0000  0.0000  0.0000
Nd  0.0000  0.0000  0.2885
Au  0.0000  0.0000  0.6406

Values from the calculation:
Energy relative to the elements in meV/atom: -484
Total energy in eV/atom: -4.749
Crystal system: tetragonal
N(E_F) in states/eV/f.u.: 3.8
Total magnetization in μB/f.u.: 0.7
Offset from the most stable computed form in meV/atom: 78.1

# 3
Compound: PmNdAu2
Source: Alexandria
Functional: PBE
Structure: optimized geometry

Unit cell a=3.8810 b=4.7861 c=5.9784 alpha=90.00 beta=109.02 gamma=90.00
Space group Pm (No. 6)
Asymmetric unit:
Pm  0.0000  0.0000  0.0000
Nd  0.2763  0.5000  0.5504
Au  0.5509  0.5000  0.1010
Au  0.7243  0.0000  0.4472

Values from the calculation:
Energy relative to the elements in meV/atom: -813
Total energy in eV/atom: -4.831
Crystal system: monoclinic
N(E_F) in states/eV/f.u.: 2.6
Total magnetization in μB/f.u.: 0.0
Offset from the most stable computed form in meV/atom: 0.0